Here is HfIrS2N at its PBEsol-relaxed geometry from Alexandria via LeMat-Bulk. Energies are from meta-GGA SCAN.

crystal system	tetragonal
SG	P4/mmm, No. 123
VASP energy	-159.72	eV for the cell shown
V	70.94	Å³/cell
formation energy without anion corrections	0.521	eV per atom

abc: 4.1478 4.1478 4.1234
angles: 90.00 90.00 90.00
Closest atoms and distances in Å follow each position.
Atoms (fractional coordinates):
Hf 0.0000 0.0000 0.0000  2 N 2.06
Ir 0.5000 0.5000 0.0000  8 S 2.92, 4 Hf 2.93
S 0.0000 0.5000 0.5000  2 N 2.07
S 0.5000 0.0000 0.5000  2 N 2.07
N 0.0000 0.0000 0.5000  2 Hf 2.06, 4 S 2.07